First-principles (PBE-GGA) data for LaTbY after structural relaxation, as listed in Alexandria.

CIF file:
```
data_LaTbY
_chemical_formula_sum 'La1 Tb1 Y1'
_cell_length_a 5.7300
_cell_length_b 5.7300
_cell_length_c 3.5433
_cell_angle_alpha 90.00
_cell_angle_beta 90.00
_cell_angle_gamma 120.00
_space_group_name_H-M_alt 'P -6 m 2'
_space_group_IT_number 187
_space_group_name_Hall 'P -6 2'
loop_
_atom_site_label
_atom_site_fract_x
_atom_site_fract_y
_atom_site_fract_z
La1 0.0000 0.0000 0.0000
Tb1 0.3333 0.6667 0.0000
Y1 0.6667 0.3333 0.5000
```

Properties
As for the calculated volume: 101 Å³ per cell. The calculation puts the density at 6.4 g cm⁻³. Its energy above the most stable polymorph in this dataset is 50 meV per atom. The value obtained for the energy is -15.82 eV per cell.

***

First-principles (PBE-GGA) data for FeB3Pt after structural relaxation, as listed in Alexandria.

CIF file:
```
data_FeB3Pt
_chemical_formula_sum 'Fe1 B3 Pt1'
_cell_length_a 4.0369
_cell_length_b 4.0369
_cell_length_c 4.0369
_cell_angle_alpha 90.00
_cell_angle_beta 90.00
_cell_angle_gamma 90.00
_space_group_name_H-M_alt 'P m -3 m'
_space_group_IT_number 221
_space_group_name_Hall '-P 4 2 3'
loop_
_atom_site_label
_atom_site_fract_x
_atom_site_fract_y
_atom_site_fract_z
Fe1 0.0000 0.0000 0.0000
B1 0.0000 0.5000 0.5000
Pt1 0.5000 0.5000 0.5000
```

Properties
As for the calculated volume: 66 Å³ per cell. The calculation puts the density at 7.2 g cm⁻³. Its energy above the most stable polymorph in this dataset is 707 meV per atom. The value obtained for the energy is -26.17 eV per cell.

***

First-principles (PBE-GGA) data for Tb4Tl3Zn after structural relaxation, as listed in Alexandria.

CIF file:
```
data_Tb4Tl3Zn
_chemical_formula_sum 'Tb4 Tl3 Zn1'
_cell_length_a 3.6633
_cell_length_b 3.6633
_cell_length_c 15.7497
_cell_angle_alpha 90.00
_cell_angle_beta 90.00
_cell_angle_gamma 90.00
_space_group_name_H-M_alt 'P 4/m m m'
_space_group_IT_number 123
_space_group_name_Hall '-P 4 2'
loop_
_atom_site_label
_atom_site_fract_x
_atom_site_fract_y
_atom_site_fract_z
Tb1 0.0000 0.0000 0.1088
Tb2 0.0000 0.0000 0.3690
Tl1 0.5000 0.5000 0.2375
Tl2 0.5000 0.5000 0.5000
Zn1 0.5000 0.5000 0.0000
```

Properties
As for the calculated volume: 211 Å³ per cell. The calculation puts the density at 10.3 g cm⁻³. Its energy above the most stable polymorph in this dataset is 0 meV per atom. The value obtained for the energy is -29.77 eV per cell.

***

First-principles (PBE-GGA) data for SmEr2TiN4 after structural relaxation, as listed in Alexandria.

CIF file:
```
data_SmEr2TiN4
_chemical_formula_sum 'Sm4 Er8 Ti4 N16'
_cell_length_a 3.3810
_cell_length_b 11.6654
_cell_length_c 11.7978
_cell_angle_alpha 90.00
_cell_angle_beta 90.00
_cell_angle_gamma 90.00
_space_group_name_H-M_alt 'C m c m'
_space_group_IT_number 63
_space_group_name_Hall '-C 2c 2'
loop_
_atom_site_label
_atom_site_fract_x
_atom_site_fract_y
_atom_site_fract_z
Sm1 0.0000 0.0996 0.2500
Er1 0.0000 0.3705 0.0388
Ti1 0.0000 0.1636 0.7500
N1 0.0000 0.0000 0.0000
N2 0.0000 0.2626 0.6234
N3 0.0000 0.4354 0.2500
```

Properties
As for the calculated volume: 465 Å³ per cell. The calculation puts the density at 8.4 g cm⁻³. The value obtained for the energy relative to the elements, uncorrected is -12.0 eV/f.u. The value obtained for the energy is -268.23 eV per cell.

***

First-principles (PBE-GGA) data for Ta3Au after structural relaxation, as listed in Alexandria.

CIF file:
```
data_Ta3Au
_chemical_formula_sum 'Ta6 Au2'
_cell_length_a 3.6936
_cell_length_b 4.4224
_cell_length_c 8.8308
_cell_angle_alpha 90.00
_cell_angle_beta 90.00
_cell_angle_gamma 90.00
_space_group_name_H-M_alt 'I m m m'
_space_group_IT_number 71
_space_group_name_Hall '-I 2 2'
loop_
_atom_site_label
_atom_site_fract_x
_atom_site_fract_y
_atom_site_fract_z
Ta1 0.0000 0.0000 0.0000
Ta2 0.0000 0.5000 0.2553
Au1 0.0000 0.0000 0.5000
```

Properties
As for the calculated volume: 144 Å³ per cell. The calculation puts the density at 17.0 g cm⁻³. Its energy above the most stable polymorph in this dataset is 76 meV per atom. The value obtained for the energy is -77.47 eV per cell.

***

First-principles (PBE-GGA) data for LiAc3Pu2Se6 after structural relaxation, as listed in Alexandria.

CIF file:
```
data_LiAc3Pu2Se6
_chemical_formula_sum 'Li2 Ac6 Pu4 Se12'
_cell_length_a 7.4955
_cell_length_b 12.9852
_cell_length_c 7.4160
_cell_angle_alpha 90.00
_cell_angle_beta 109.72
_cell_angle_gamma 90.00
_space_group_name_H-M_alt 'C 1 2/m 1'
_space_group_IT_number 12
_space_group_name_Hall '-C 2y'
loop_
_atom_site_label
_atom_site_fract_x
_atom_site_fract_y
_atom_site_fract_z
Li1 0.0000 0.0000 0.0000
Ac1 0.0000 0.1672 0.5000
Ac2 0.0000 0.5000 0.5000
Pu1 0.0000 0.3337 0.0000
Se1 0.2399 0.1644 0.2268
Se2 0.2472 0.5000 0.2275
```

Properties
As for the calculated volume: 679 Å³ per cell. The calculation puts the density at 8.1 g cm⁻³. The value obtained for the energy relative to the elements, uncorrected is -20.0 eV/f.u. The value obtained for the energy is -167.65 eV per cell.

***

First-principles (PBE-GGA) data for Y3Ge3Rh2 after structural relaxation, as listed in Alexandria.

CIF file:
```
data_Y3Ge3Rh2
_chemical_formula_sum 'Y12 Ge12 Rh8'
_cell_length_a 8.1144
_cell_length_b 14.2438
_cell_length_c 5.6961
_cell_angle_alpha 90.00
_cell_angle_beta 90.00
_cell_angle_gamma 90.00
_space_group_name_H-M_alt 'P n m a'
_space_group_IT_number 62
_space_group_name_Hall '-P 2ac 2n'
loop_
_atom_site_label
_atom_site_fract_x
_atom_site_fract_y
_atom_site_fract_z
Y1 0.0422 0.1126 0.1232
Y2 0.1906 0.2500 0.6340
Ge1 0.1661 0.7500 0.6119
Ge2 0.2013 0.0382 0.6247
Rh1 0.0795 0.5973 0.3848
```

Properties
As for the calculated volume: 658 Å³ per cell. The calculation puts the density at 7.0 g cm⁻³. Its energy above the most stable polymorph in this dataset is 41 meV per atom. The value obtained for the energy is -221.43 eV per cell.

***

First-principles (PBE-GGA) data for TiSn3Rh4 after structural relaxation, as listed in Alexandria.

CIF file:
```
data_TiSn3Rh4
_chemical_formula_sum 'Ti2 Sn6 Rh8'
_cell_length_a 4.4145
_cell_length_b 4.4145
_cell_length_c 13.7725
_cell_angle_alpha 90.00
_cell_angle_beta 90.00
_cell_angle_gamma 90.00
_space_group_name_H-M_alt 'I 4/m m m'
_space_group_IT_number 139
_space_group_name_Hall '-I 4 2'
loop_
_atom_site_label
_atom_site_fract_x
_atom_site_fract_y
_atom_site_fract_z
Ti1 0.0000 0.0000 0.0000
Sn1 0.0000 0.0000 0.2477
Sn2 0.0000 0.0000 0.5000
Rh1 0.0000 0.5000 0.1179
```

Properties
As for the calculated volume: 268 Å³ per cell. The calculation puts the density at 10.1 g cm⁻³. The value obtained for the energy is -106.57 eV per cell.

***

First-principles (PBE-GGA) data for CdSi4 after structural relaxation, as listed in Alexandria.

CIF file:
```
data_CdSi4
_chemical_formula_sum 'Cd2 Si8'
_cell_length_a 4.5420
_cell_length_b 4.5420
_cell_length_c 8.8456
_cell_angle_alpha 90.00
_cell_angle_beta 90.00
_cell_angle_gamma 90.00
_space_group_name_H-M_alt 'I 4/m m m'
_space_group_IT_number 139
_space_group_name_Hall '-I 4 2'
loop_
_atom_site_label
_atom_site_fract_x
_atom_site_fract_y
_atom_site_fract_z
Cd1 0.0000 0.0000 0.0000
Si1 0.0000 0.0000 0.3657
Si2 0.0000 0.5000 0.2500
```

Properties
As for the calculated volume: 182 Å³ per cell. The calculation puts the density at 4.1 g cm⁻³. The value obtained for the energy relative to the elements, uncorrected is 1.5 eV/f.u. Its energy above the most stable polymorph in this dataset is 0 meV per atom. The value obtained for the energy is -42.21 eV per cell.

***

First-principles (PBE-GGA) data for HfTh2 after structural relaxation, as listed in Alexandria.

CIF file:
```
data_HfTh2
_chemical_formula_sum 'Hf2 Th4'
_cell_length_a 5.7215
_cell_length_b 5.7171
_cell_length_c 6.0010
_cell_angle_alpha 90.00
_cell_angle_beta 118.35
_cell_angle_gamma 90.00
_space_group_name_H-M_alt 'C 1 2/m 1'
_space_group_IT_number 12
_space_group_name_Hall '-C 2y'
loop_
_atom_site_label
_atom_site_fract_x
_atom_site_fract_y
_atom_site_fract_z
Hf1 0.0000 0.0000 0.0000
Th1 0.1603 0.5000 0.3205
```

Properties
As for the calculated volume: 173 Å³ per cell. The calculation puts the density at 12.4 g cm⁻³. The value obtained for the energy is -48.52 eV per cell.

***

Repeat the seventh record exactly.
First-principles (PBE-GGA) data for Y3Ge3Rh2 after structural relaxation, as listed in Alexandria.

CIF file:
```
data_Y3Ge3Rh2
_chemical_formula_sum 'Y12 Ge12 Rh8'
_cell_length_a 8.1144
_cell_length_b 14.2438
_cell_length_c 5.6961
_cell_angle_alpha 90.00
_cell_angle_beta 90.00
_cell_angle_gamma 90.00
_space_group_name_H-M_alt 'P n m a'
_space_group_IT_number 62
_space_group_name_Hall '-P 2ac 2n'
loop_
_atom_site_label
_atom_site_fract_x
_atom_site_fract_y
_atom_site_fract_z
Y1 0.0422 0.1126 0.1232
Y2 0.1906 0.2500 0.6340
Ge1 0.1661 0.7500 0.6119
Ge2 0.2013 0.0382 0.6247
Rh1 0.0795 0.5973 0.3848
```

Properties
As for the calculated volume: 658 Å³ per cell. The calculation puts the density at 7.0 g cm⁻³. Its energy above the most stable polymorph in this dataset is 41 meV per atom. The value obtained for the energy is -221.43 eV per cell.

***

Among the records above, which one has the lowest calculated volume?
FeB3Pt